[1]
## Mg3Al2Ag6 (GGA-PBE)

Data for Mg3Al2Ag6 after structural relaxation.

Cell lengths 4.9492, 5.3934, 8.1937 Å; angles 90.26, 91.25, 113.75 degrees
Last column: nearest neighbours and their distance in Å.
Space group P-1 (No. 2)
Symmetry-distinct sites (fractional):
Mg (0.0000, 0.0000, 0.0000)  4 Ag 2.76-2.82
Mg (0.0252, 0.2001, 0.6293)  9 Ag 2.84-3.03, 1 Al 2.95, 1 Mg 2.95
Al (0.3778, 0.5981, 0.8816)  1 Al 2.70, 6 Ag 2.71-2.90, 1 Mg 2.95
Ag (0.0895, 0.3475, 0.2722)  2 Al 2.73-2.85, 4 Mg 2.82-3.03, 3 Ag 2.87-2.94
Ag (0.4465, 0.7346, 0.5486)  7 Ag 2.82-3.12, 1 Al 2.82, 4 Mg 2.87-3.01
Ag (0.4980, 0.8746, 0.1790)  3 Al 2.71-2.90, 3 Mg 2.76-2.97, 2 Ag 2.87-2.99

[2]
## Sc2ZnPd (GGA-PBE)

Data for Sc2ZnPd after structural relaxation.

Cell lengths 7.4612, 7.4612, 5.7579 Å; angles 90.00, 90.00, 90.00 degrees
Last column: nearest neighbours and their distance in Å.
Space group I-42d (No. 122)
Symmetry-distinct sites (fractional):
Sc (0.2256, 0.2500, 0.1250)  2 Pd 2.61, 2 Zn 2.86, 2 Sc 2.90
Zn (0.0000, 0.0000, 0.5000)  4 Sc 2.86, 2 Pd 2.88
Pd (0.0000, 0.0000, 0.0000)  4 Sc 2.61, 2 Zn 2.88

[3]
## SmHf2Tc9 (GGA-PBE)

Data for SmHf2Tc9 after structural relaxation.

Cell lengths 5.2677, 5.2677, 25.9695 Å; angles 90.00, 90.00, 120.00 degrees
Last column: nearest neighbours and their distance in Å.
Space group R-3m (No. 166, hexagonal axes)
Symmetry-distinct sites (fractional):
Sm (0.0000, 0.0000, 0.0000)  6 Tc 3.04
Hf (0.0000, 0.0000, 0.1432)  12 Tc 3.02-3.10, 3 Hf 3.28
Tc (0.0000, 0.0000, 0.3364)  6 Tc 2.66-2.74
Tc (0.0000, 0.0000, 0.5000)  6 Tc 2.62
Tc (0.0102, 0.5051, 0.9140)  7 Tc 2.55-2.74

[4]
## TbTm5Ga4 (GGA-PBE)

Data for TbTm5Ga4 after structural relaxation.

Cell lengths 16.9927, 3.6328, 8.6367 Å; angles 90.00, 95.81, 90.00 degrees
Last column: nearest neighbours and their distance in Å.
Space group C2/m (No. 12)
Symmetry-distinct sites (fractional):
Tb (0.0000, 0.0000, 0.0000)  6 Ga 2.88-3.16
Tm (0.0000, 0.0000, 0.5000)  4 Ga 2.82
Tm (0.1498, 0.5000, 0.7762)  4 Ga 2.93-3.05
Tm (0.1887, 0.5000, 0.3481)  3 Ga 2.84-3.10
Ga (0.0234, 0.5000, 0.2593)  4 Tm 2.82-2.93, 2 Tb 2.88
Ga (0.1866, 0.0000, 0.0574)  5 Tm 3.00-3.10, 2 Ga 3.06, 1 Tb 3.16

no.,total magnetization (μB per formula unit),E (eV per cell)
1,0.0,-30.65
2,0.0,-79.55
3,0.0,-358.65
4,0.0,-83.85